First-principles (PBE) data for a geometry-optimized ScCd structure, as listed in the Alexandria database. Values from VASP.

Calculated values
The symmetry is P6_3mc, No. 186. As for the crystal system: hexagonal. As for the calculated formation energy: 0.809 eV/atom.

Structure (Quantum ESPRESSO input):
```
&SYSTEM
  ibrav = 0, nat = 4, ntyp = 2
/
ATOMIC_SPECIES
Cd 112.41 Cd.upf
Sc 44.96 Sc.upf
ATOMIC_POSITIONS angstrom
Cd 0.0000 2.6334 7.4973
Cd 2.2806 1.3167 3.7437
Sc 0.0000 2.6334 2.7949
Sc 2.2806 1.3167 6.5485
CELL_PARAMETERS angstrom
4.5611 0.0000 0.0000
-2.2805 3.9500 0.0000
0.0000 0.0000 7.5071
```